Compound: SmPaPtO6
Source: Alexandria
Functional: PBE-GGA
Structure: optimized geometry

The structure in extended XYZ format:
```
18
Lattice="5.034 0.000 0.000 0.000 5.034 0.000 0.000 0.000 10.270" Properties=species:S:1:pos:R:3 pbc="T T T"
Sm 0.000 0.000 0.000
Sm 2.517 2.517 5.135
Pa 0.000 0.000 3.435
Pa 2.517 2.517 8.570
Pt 0.000 0.000 6.884
Pt 2.517 2.517 1.749
O 0.892 0.892 5.257
O 0.974 0.974 8.412
O 1.058 1.058 1.855
O 1.459 3.575 6.989
O 1.543 3.491 3.277
O 1.625 3.409 0.122
O 3.409 1.625 0.122
O 3.491 1.543 3.277
O 3.575 1.459 6.989
O 3.976 3.976 1.855
O 4.060 4.060 8.412
O 4.143 4.143 5.257
```

Results
E_form (uncorrected) ... -2.46 eV per atom
Mass density ... 8.58 g/cm³
Volume ... 260.3 Å³ per cell
Crystal system ... tetragonal


Compound: Ac4Sb2IrO2
Source: Alexandria
Functional: PBE-GGA
Structure: optimized geometry

The structure in extended XYZ format:
```
9
Lattice="8.123 -2.131 0.000 8.123 2.131 0.000 -2.787 0.000 7.480" Properties=species:S:1:pos:R:3 pbc="T T T"
Ac -0.267 0.000 1.994
Ac 3.811 0.000 2.519
Ac 9.647 0.000 4.961
Ac 13.726 0.000 5.486
Sb 3.299 0.000 7.210
Sb 10.159 0.000 0.270
Ir 6.729 0.000 3.740
O 1.564 0.000 3.658
O 11.894 0.000 3.822
```

Results
E_form (uncorrected) ... -1.76 eV per atom
Mass density ... 8.82 g/cm³
Volume ... 258.9 Å³ per cell
Crystal system ... monoclinic


Compound: MgUIn6
Source: Alexandria
Functional: PBE-GGA
Structure: optimized geometry

The structure in extended XYZ format:
```
8
Lattice="4.615 0.000 0.000 0.000 4.615 0.000 0.000 0.000 9.306" Properties=species:S:1:pos:R:3 pbc="T T T"
Mg 0.000 0.000 0.000
U 0.000 0.000 4.653
In 0.000 2.307 2.282
In 0.000 2.307 7.024
In 2.307 0.000 2.282
In 2.307 0.000 7.024
In 2.307 2.307 0.000
In 2.307 2.307 4.653
```

Results
ΔH_f (0 K) ... 0.0250 eV/atom
Mass density ... 7.97 g/cm³
Volume ... 198.2 Å³ per cell
Crystal system ... tetragonal


Compound: BrO
Source: Alexandria
Functional: PBE-GGA
Structure: optimized geometry

The structure in extended XYZ format:
```
12
Lattice="6.618 0.000 0.000 0.000 6.618 0.000 0.000 0.000 6.618" Properties=species:S:1:pos:R:3 pbc="T T T"
Br 0.000 1.654 3.309
Br 0.000 4.963 3.309
Br 1.654 3.309 0.000
Br 3.309 0.000 1.654
Br 3.309 0.000 4.963
Br 4.963 3.309 0.000
O 0.000 3.309 1.654
O 0.000 3.309 4.963
O 1.654 0.000 3.309
O 3.309 1.654 0.000
O 3.309 4.963 0.000
O 4.963 0.000 3.309
```

Results
E_form (uncorrected) ... 1.12 eV per atom
Mass density ... 3.30 g/cm³
Volume ... 289.8 Å³ per cell
Crystal system ... cubic
Relative energy among the computed polymorphs ... 94.2 kJ/mol of atoms


Compound: Cs2CdBiO4
Source: Alexandria
Functional: PBE-GGA
Structure: optimized geometry

The structure in extended XYZ format:
```
16
Lattice="0.000 6.893 10.586 3.074 0.000 10.586 3.074 6.893 0.000" Properties=species:S:1:pos:R:3 pbc="T T T"
Cs 2.305 5.170 1.180
Cs 3.842 8.617 6.473
Cs 2.305 5.170 14.699
Cs 3.842 8.617 19.992
Cd 0.768 1.723 2.647
Cd 5.379 12.063 18.526
Bi 2.305 5.170 7.940
Bi 3.842 8.617 13.233
O 2.359 2.990 3.574
O 3.788 6.437 8.867
O 2.251 7.350 3.574
O 2.251 2.990 12.305
O 3.896 10.797 8.867
O 3.896 6.437 17.598
O 2.359 7.350 12.305
O 3.788 10.797 17.598
```

Results
E_form (uncorrected) ... -1.02 eV per atom
Mass density ... 4.82 g/cm³
Volume ... 448.6 Å³ per cell
Crystal system ... orthorhombic


Compound: Dy5Ho2ThMg
Source: Alexandria
Functional: PBE-GGA
Structure: optimized geometry

The structure in extended XYZ format:
```
18
Lattice="2.731 -9.960 0.000 2.731 9.960 0.000 0.000 0.000 10.381" Properties=species:S:1:pos:R:3 pbc="T T T"
Dy 2.731 -9.956 0.000
Dy 2.731 9.956 5.190
Dy 2.731 7.554 7.789
Dy 2.731 5.699 0.534
Dy 2.731 5.705 4.663
Dy 2.731 0.273 7.789
Dy 2.731 -0.273 2.599
Dy 2.731 -5.699 5.724
Dy 2.731 -5.705 9.853
Dy 2.731 -7.554 2.599
Ho 2.731 2.281 0.395
Ho 2.731 2.283 4.803
Ho 2.731 -2.281 5.585
Ho 2.731 -2.283 9.993
Th 2.731 3.962 7.789
Th 2.731 -3.962 2.598
Mg 2.731 8.045 2.591
Mg 2.731 -8.045 7.781
```

Results
ΔH_f (0 K) ... 0.1184 eV/atom
Mass density ... 8.23 g/cm³
Volume ... 564.8 Å³ per cell
Crystal system ... orthorhombic